Compound: Ca3HfPa2As6
Source: the Alexandria database
Functional: PBE
Structure: relaxed

The calculation puts the spin magnetization at 0.01 μB/cell. The formation energy comes out at -1.15 eV per atom. For the density of states at the Fermi level, the calculation gives 17.56 states/eV/cell.

The space group is C2/m (No. 12) and the conventional cell measures 7.0844, 12.2747 and 7.2247 Å, with angles of 90.00, 109.12 and 90.00 degrees. The inequivalent atoms are Ca at (0.0000, 0.0000, 0.0000), Ca at (0.0000, 0.3311, 0.0000), Hf at (0.0000, 0.5000, 0.5000), Pa at (0.0000, 0.1663, 0.5000), As at (0.2393, 0.3373, 0.7300) and As at (0.2477, 0.5000, 0.2684).